## YCr2IO8 (PBE+U)

Data for crystalline YCr2IO8 at its relaxed geometry.

Lattice parameters (Å, degrees): 4.7108 6.5071 4.7122 90.00 90.30 90.00
Closest atoms and distances in Å follow each position.
Sites, in units of the cell vectors:
1 Y 0.0000 0.0000 0.0000  6 O 2.17-2.25
2 Cr 0.5000 0.2463 0.5000  6 O 1.99-2.17
3 Cr 0.5000 0.7537 0.5000  6 O 1.99-2.17
4 I 0.0000 0.5000 0.0000  6 O 1.90-1.94
5 O 0.1942 0.2845 0.1927  1 I 1.90, 1 Cr 2.05
6 O 0.1942 0.7155 0.1927  1 I 1.90, 1 Cr 2.05
7 O 0.2895 0.5000 0.7091  1 I 1.94, 2 Cr 2.17
8 O 0.3239 0.0000 0.6747  2 Cr 1.99, 1 Y 2.17
9 O 0.6761 0.0000 0.3253  2 Cr 1.99, 1 Y 2.17
10 O 0.7105 0.5000 0.2909  1 I 1.94, 2 Cr 2.17
11 O 0.8058 0.2845 0.8073  1 I 1.90, 1 Cr 2.05
12 O 0.8058 0.7155 0.8073  1 I 1.90, 1 Cr 2.05

Output
SG: P2/m (10)
E_tot (eV per atom): -6.78